1.
VASP calculation (PBE-GGA) on a geometry-optimized ZnPdSO structure.

Output
The calculation puts the raw total energy at -4.100 eV per atom. The energy above the most stable polymorph in this dataset comes out at 40.62 kJ per mole of atoms. The density comes out at 6.37 g cm⁻³.

Unit cell a=6.2232 b=6.2232 c=5.7804 alpha=90.00 beta=90.00 gamma=149.17
Closest atoms and distances in Å follow each position.
Fractional coordinates of all 8 atoms:
Zn (0.1136, 0.8864, 0.7500)  2 O 1.99
Zn (0.8864, 0.1136, 0.2500)  2 O 1.99
Pd (0.4012, 0.5988, 0.7500)  2 S 2.31, 4 O 2.50
Pd (0.5988, 0.4012, 0.2500)  2 S 2.31, 4 O 2.50
S (0.2330, 0.7670, 0.2500)  2 Pd 2.31, 2 Zn 2.47
S (0.7670, 0.2330, 0.7500)  2 Pd 2.31, 2 Zn 2.47
O (0.0000, 0.0000, 0.0000)  2 Zn 1.99
O (0.0000, 0.0000, 0.5000)  2 Zn 1.99

---

2.
VASP calculation (PBE-GGA) on a geometry-optimized ZnPdSO structure.

Output
The calculation puts the raw total energy at -4.126 eV per atom. The energy above the most stable polymorph in this dataset comes out at 38.11 kJ per mole of atoms. The density comes out at 6.36 g cm⁻³.

Unit cell a=3.8144 b=3.8144 c=7.8937 alpha=90.00 beta=90.00 gamma=90.00
Closest atoms and distances in Å follow each position.
Fractional coordinates of all 8 atoms:
Zn (0.2500, 0.7500, 0.0000)  4 Pd 2.62, 4 Zn 2.70
Zn (0.7500, 0.2500, 0.0000)  4 Pd 2.62, 4 Zn 2.70
Pd (0.2500, 0.2500, 0.2273)  1 O 2.26
Pd (0.7500, 0.7500, 0.7727)  1 O 2.26
S (0.2500, 0.2500, 0.7045)  1 O 1.51
S (0.7500, 0.7500, 0.2955)  1 O 1.51
O (0.2500, 0.2500, 0.5137)  1 S 1.51
O (0.7500, 0.7500, 0.4863)  1 S 1.51

---

3.
VASP calculation (PBE-GGA) on a geometry-optimized ZnPdSO structure.

Output
The calculation puts the raw total energy at -4.382 eV per atom. The energy above the most stable polymorph in this dataset comes out at 13.38 kJ per mole of atoms. The density comes out at 6.04 g cm⁻³.

Unit cell a=6.5671 b=6.5671 c=5.4832 alpha=90.00 beta=90.00 gamma=149.26
Closest atoms and distances in Å follow each position.
Fractional coordinates of all 8 atoms:
Zn (0.0637, 0.9363, 0.5000)  2 O 1.92-1.95
Zn (0.9363, 0.0637, 0.0000)  2 O 1.92-1.95
Pd (0.3170, 0.6830, 0.3880)  2 O 2.23, 2 S 2.42
Pd (0.6830, 0.3170, 0.8880)  2 O 2.23, 2 S 2.42
S (0.3157, 0.6843, 0.8588)  3 Pd 2.42-2.58, 2 Zn 2.44
S (0.6843, 0.3157, 0.3588)  3 Pd 2.42-2.58, 2 Zn 2.44
O (0.0739, 0.9261, 0.8548)  2 Zn 1.92-1.95
O (0.9261, 0.0739, 0.3548)  2 Zn 1.92-1.95

---

4.
VASP calculation (PBE-GGA) on a geometry-optimized ZnPdSO structure.

Output
The calculation puts the raw total energy at -4.521 eV per atom. The energy above the most stable polymorph in this dataset comes out at 0.00 kJ per mole of atoms. The density comes out at 6.55 g cm⁻³.

Unit cell a=5.5737 b=6.8056 c=5.8827 alpha=90.00 beta=90.00 gamma=90.00
Closest atoms and distances in Å follow each position.
Fractional coordinates of all 16 atoms:
Zn (0.1252, 0.0856, 0.0000)  3 O 1.99-2.02
Zn (0.3748, 0.0856, 0.5000)  3 O 1.99-2.02
Zn (0.6252, 0.9144, 0.0000)  3 O 1.99-2.02
Zn (0.8748, 0.9144, 0.5000)  3 O 1.99-2.02
Pd (0.2181, 0.6441, 0.6872)  1 O 2.19, 3 S 2.36-2.40
Pd (0.2819, 0.6441, 0.1872)  1 O 2.19, 3 S 2.36-2.40
Pd (0.7181, 0.3559, 0.6872)  1 O 2.19, 3 S 2.36-2.40
Pd (0.7819, 0.3559, 0.1872)  1 O 2.19, 3 S 2.36-2.40
S (0.0806, 0.3638, 0.4808)  3 Pd 2.36-2.40, 1 Zn 2.51
S (0.4194, 0.3638, 0.9808)  3 Pd 2.36-2.40, 1 Zn 2.51
S (0.5806, 0.6362, 0.4808)  3 Pd 2.36-2.40, 1 Zn 2.51
S (0.9194, 0.6362, 0.9808)  3 Pd 2.36-2.40, 1 Zn 2.51
O (0.1542, 0.9346, 0.2920)  3 Zn 1.99-2.02, 1 Pd 2.19
O (0.3458, 0.9346, 0.7920)  3 Zn 1.99-2.02, 1 Pd 2.19
O (0.6542, 0.0654, 0.2920)  3 Zn 1.99-2.02, 1 Pd 2.19
O (0.8458, 0.0654, 0.7920)  3 Zn 1.99-2.02, 1 Pd 2.19

---

5.
VASP calculation (PBE-GGA) on a geometry-optimized ZnPdSO structure.

Output
The calculation puts the raw total energy at -4.503 eV per atom. The energy above the most stable polymorph in this dataset comes out at 1.74 kJ per mole of atoms. The density comes out at 5.49 g cm⁻³.

Unit cell a=5.4791 b=6.0339 c=8.0534 alpha=90.00 beta=90.00 gamma=90.00
Closest atoms and distances in Å follow each position.
Fractional coordinates of all 16 atoms:
Zn (0.0270, 0.2147, 0.1215)  2 O 1.96-2.00
Zn (0.4730, 0.7853, 0.6215)  2 O 1.96-2.00
Zn (0.5270, 0.2853, 0.8785)  2 O 1.96-2.00
Zn (0.9730, 0.7147, 0.3785)  2 O 1.96-2.00
Pd (0.0031, 0.4407, 0.7464)  2 O 2.05-2.06
Pd (0.4969, 0.5593, 0.2464)  2 O 2.05-2.06
Pd (0.5031, 0.0593, 0.2536)  2 O 2.05-2.06
Pd (0.9969, 0.9407, 0.7536)  2 O 2.05-2.06
S (0.1930, 0.8198, 0.1544)  1 Zn 2.26, 2 Pd 2.37-2.41
S (0.3070, 0.1802, 0.6544)  1 Zn 2.26, 2 Pd 2.37-2.41
S (0.6930, 0.6802, 0.8456)  1 Zn 2.26, 2 Pd 2.37-2.41
S (0.8070, 0.3198, 0.3456)  1 Zn 2.26, 2 Pd 2.37-2.41
O (0.1240, 0.6954, 0.5991)  2 Zn 1.96-2.00, 2 Pd 2.05-2.06
O (0.3760, 0.3046, 0.0991)  2 Zn 1.96-2.00, 2 Pd 2.05-2.06
O (0.6240, 0.8046, 0.4009)  2 Zn 1.96-2.00, 2 Pd 2.05-2.06
O (0.8760, 0.1954, 0.9009)  2 Zn 1.96-2.00, 2 Pd 2.05-2.06

---

6.
VASP calculation (PBE-GGA) on a geometry-optimized ZnPdSO structure.

Output
The calculation puts the raw total energy at -4.061 eV per atom. The energy above the most stable polymorph in this dataset comes out at 44.34 kJ per mole of atoms. The density comes out at 5.70 g cm⁻³.

Unit cell a=3.9327 b=3.9327 c=8.2896 alpha=90.00 beta=90.00 gamma=90.00
Closest atoms and distances in Å follow each position.
Fractional coordinates of all 8 atoms:
Zn (0.2500, 0.2500, 0.1199)  1 S 2.29
Zn (0.7500, 0.7500, 0.8801)  1 S 2.29
Pd (0.2500, 0.2500, 0.4311)  4 O 2.05
Pd (0.7500, 0.7500, 0.5689)  4 O 2.05
S (0.2500, 0.2500, 0.8431)  1 Zn 2.29
S (0.7500, 0.7500, 0.1569)  1 Zn 2.29
O (0.2500, 0.7500, 0.5000)  4 Pd 2.05
O (0.7500, 0.2500, 0.5000)  4 Pd 2.05

---

7.
VASP calculation (PBE-GGA) on a geometry-optimized ZnPdSO structure.

Output
The calculation puts the raw total energy at -4.226 eV per atom. The energy above the most stable polymorph in this dataset comes out at 28.48 kJ per mole of atoms. The density comes out at 6.88 g cm⁻³.

Unit cell a=7.0720 b=7.0720 c=5.1623 alpha=90.00 beta=90.00 gamma=155.71
Closest atoms and distances in Å follow each position.
Fractional coordinates of all 8 atoms:
Zn (0.0499, 0.9501, 0.7500)  4 O 2.09
Zn (0.9501, 0.0499, 0.2500)  4 O 2.09
Pd (0.3444, 0.6556, 0.7500)  4 S 2.46-2.66, 2 O 2.51
Pd (0.6556, 0.3444, 0.2500)  4 S 2.46-2.66, 2 O 2.51
S (0.2972, 0.7028, 0.2500)  4 Pd 2.46-2.66, 2 Zn 2.59
S (0.7028, 0.2972, 0.7500)  4 Pd 2.46-2.66, 2 Zn 2.59
O (0.5000, 0.5000, 0.0000)  4 Zn 2.09
O (0.5000, 0.5000, 0.5000)  4 Zn 2.09

---

8.
VASP calculation (PBE-GGA) on a geometry-optimized ZnPdSO structure.

Output
The calculation puts the raw total energy at -4.478 eV per atom. The energy above the most stable polymorph in this dataset comes out at 4.14 kJ per mole of atoms. The density comes out at 5.75 g cm⁻³.

Unit cell a=6.0346 b=12.9026 c=6.5249 alpha=90.00 beta=90.00 gamma=90.00
Closest atoms and distances in Å follow each position.
Fractional coordinates of all 32 atoms:
Zn (0.0381, 0.2478, 0.1338)  3 O 1.94-1.96
Zn (0.0381, 0.2522, 0.6338)  3 O 1.94-1.96
Zn (0.4619, 0.7478, 0.1338)  3 O 1.94-1.96
Zn (0.4619, 0.7522, 0.6338)  3 O 1.94-1.96
Zn (0.5381, 0.2478, 0.3662)  3 O 1.94-1.96
Zn (0.5381, 0.2522, 0.8662)  3 O 1.94-1.96
Zn (0.9619, 0.7478, 0.3662)  3 O 1.94-1.96
Zn (0.9619, 0.7522, 0.8662)  3 O 1.94-1.96
Pd (0.2485, 0.5612, 0.5191)  4 S 2.33-2.40
Pd (0.2485, 0.9388, 0.0191)  4 S 2.33-2.40
Pd (0.2515, 0.0612, 0.5191)  4 S 2.33-2.40
Pd (0.2515, 0.4388, 0.0191)  4 S 2.33-2.40
Pd (0.7485, 0.5612, 0.9809)  4 S 2.33-2.40
Pd (0.7485, 0.9388, 0.4809)  4 S 2.33-2.40
Pd (0.7515, 0.0612, 0.9809)  4 S 2.33-2.40
Pd (0.7515, 0.4388, 0.4809)  4 S 2.33-2.40
S (0.0004, 0.0132, 0.2500)  4 Pd 2.33-2.40
S (0.0004, 0.4868, 0.7500)  4 Pd 2.33-2.40
S (0.9996, 0.5132, 0.2500)  4 Pd 2.33-2.40
S (0.9996, 0.9868, 0.7500)  4 Pd 2.33-2.40
S (0.5004, 0.0132, 0.2500)  4 Pd 2.33-2.40
S (0.5004, 0.4868, 0.7500)  4 Pd 2.33-2.40
S (0.4996, 0.5132, 0.2500)  4 Pd 2.33-2.40
S (0.4996, 0.9868, 0.7500)  4 Pd 2.33-2.40
O (0.2168, 0.2492, 0.8823)  3 Zn 1.94-1.96
O (0.2168, 0.2508, 0.3823)  3 Zn 1.94-1.96
O (0.2832, 0.7492, 0.8823)  3 Zn 1.94-1.96
O (0.2832, 0.7508, 0.3823)  3 Zn 1.94-1.96
O (0.7168, 0.2492, 0.6177)  3 Zn 1.94-1.96
O (0.7168, 0.2508, 0.1177)  3 Zn 1.94-1.96
O (0.7832, 0.7492, 0.6177)  3 Zn 1.94-1.96
O (0.7832, 0.7508, 0.1177)  3 Zn 1.94-1.96

---

9.
VASP calculation (PBE-GGA) on a geometry-optimized ZnPdSO structure.

Output
The calculation puts the raw total energy at -4.362 eV per atom. The energy above the most stable polymorph in this dataset comes out at 15.31 kJ per mole of atoms. The density comes out at 6.10 g cm⁻³.

Unit cell a=3.6384 b=3.6384 c=9.0498 alpha=90.00 beta=90.00 gamma=90.00
Closest atoms and distances in Å follow each position.
Fractional coordinates of all 8 atoms:
Zn (0.2500, 0.2500, 0.0866)  4 O 1.98
Zn (0.7500, 0.7500, 0.9134)  4 O 1.98
Pd (0.2500, 0.2500, 0.6278)  5 S 2.49-2.58
Pd (0.7500, 0.7500, 0.3722)  5 S 2.49-2.58
S (0.2500, 0.2500, 0.3528)  1 Zn 2.41, 5 Pd 2.49-2.58
S (0.7500, 0.7500, 0.6472)  1 Zn 2.41, 5 Pd 2.49-2.58
O (0.2500, 0.7500, 0.0000)  4 Zn 1.98
O (0.7500, 0.2500, 0.0000)  4 Zn 1.98

---

10.
VASP calculation (PBE-GGA) on a geometry-optimized ZnPdSO structure.

Output
The calculation puts the raw total energy at -4.341 eV per atom. The energy above the most stable polymorph in this dataset comes out at 17.39 kJ per mole of atoms. The density comes out at 6.19 g cm⁻³.

Unit cell a=7.0902 b=9.3006 c=7.1517 alpha=90.00 beta=90.00 gamma=90.00
Closest atoms and distances in Å follow each position.
Fractional coordinates of all 32 atoms:
Zn (0.2491, 0.0623, 0.0016)  1 O 2.00
Zn (0.2491, 0.4377, 0.5016)  1 O 2.00
Zn (0.2509, 0.5623, 0.0016)  1 O 2.00
Zn (0.2509, 0.9377, 0.5016)  1 O 2.00
Zn (0.7491, 0.0623, 0.4984)  1 O 2.00
Zn (0.7491, 0.4377, 0.9984)  1 O 2.00
Zn (0.7509, 0.5623, 0.4984)  1 O 2.00
Zn (0.7509, 0.9377, 0.9984)  1 O 2.00
Pd (0.0077, 0.2400, 0.2419)  2 O 2.07
Pd (0.0077, 0.2600, 0.7419)  2 O 2.07
Pd (0.4923, 0.7400, 0.2419)  2 O 2.07
Pd (0.4923, 0.7600, 0.7419)  2 O 2.07
Pd (0.5077, 0.2400, 0.2581)  2 O 2.07
Pd (0.5077, 0.2600, 0.7581)  2 O 2.07
Pd (0.9923, 0.7400, 0.2581)  2 O 2.07
Pd (0.9923, 0.7600, 0.7581)  2 O 2.07
S (0.0586, 0.0075, 0.7429)  2 Zn 2.29-2.35, 2 Pd 2.35-2.38
S (0.0586, 0.4925, 0.2429)  2 Zn 2.29-2.35, 2 Pd 2.35-2.38
S (0.4414, 0.5075, 0.7429)  2 Zn 2.29-2.35, 2 Pd 2.35-2.38
S (0.4414, 0.9925, 0.2429)  2 Zn 2.29-2.35, 2 Pd 2.35-2.38
S (0.5586, 0.0075, 0.7571)  2 Zn 2.29-2.35, 2 Pd 2.35-2.38
S (0.5586, 0.4925, 0.2571)  2 Zn 2.29-2.35, 2 Pd 2.35-2.38
S (0.9414, 0.5075, 0.7571)  2 Zn 2.29-2.35, 2 Pd 2.35-2.38
S (0.9414, 0.9925, 0.2571)  2 Zn 2.29-2.35, 2 Pd 2.35-2.38
O (0.2468, 0.7379, 0.3992)  1 Zn 2.00, 2 Pd 2.07
O (0.2468, 0.7621, 0.8992)  1 Zn 2.00, 2 Pd 2.07
O (0.2532, 0.2379, 0.3992)  1 Zn 2.00, 2 Pd 2.07
O (0.2532, 0.2621, 0.8992)  1 Zn 2.00, 2 Pd 2.07
O (0.7468, 0.7379, 0.1008)  1 Zn 2.00, 2 Pd 2.07
O (0.7468, 0.7621, 0.6008)  1 Zn 2.00, 2 Pd 2.07
O (0.7532, 0.2379, 0.1008)  1 Zn 2.00, 2 Pd 2.07
O (0.7532, 0.2621, 0.6008)  1 Zn 2.00, 2 Pd 2.07

---

11.
VASP calculation (PBE-GGA) on a geometry-optimized ZnPdSO structure.

Output
The calculation puts the raw total energy at -4.303 eV per atom. The energy above the most stable polymorph in this dataset comes out at 20.99 kJ per mole of atoms. The density comes out at 6.36 g cm⁻³.

Unit cell a=6.2234 b=6.2234 c=5.8490 alpha=90.00 beta=90.00 gamma=149.52
Closest atoms and distances in Å follow each position.
Fractional coordinates of all 8 atoms:
Zn (0.2145, 0.7855, 0.5000)  2 O 2.03
Zn (0.7855, 0.2145, 0.0000)  2 O 2.03
Pd (0.4991, 0.5009, 0.6852)  2 O 2.04-2.05
Pd (0.5009, 0.4991, 0.1852)  2 O 2.04-2.05
S (0.1335, 0.8665, 0.9110)  3 Zn 2.51-2.59, 4 Pd 2.65-2.79
S (0.8665, 0.1335, 0.4110)  3 Zn 2.51-2.59, 4 Pd 2.65-2.79
O (0.3809, 0.6191, 0.9372)  2 Zn 2.03, 2 Pd 2.04-2.05
O (0.6191, 0.3809, 0.4372)  2 Zn 2.03, 2 Pd 2.04-2.05

---

12.
VASP calculation (PBE-GGA) on a geometry-optimized ZnPdSO structure.

Output
The calculation puts the raw total energy at -4.430 eV per atom. The energy above the most stable polymorph in this dataset comes out at 8.73 kJ per mole of atoms. The density comes out at 6.06 g cm⁻³.

Unit cell a=6.5092 b=3.2820 c=11.2794 alpha=90.00 beta=90.00 gamma=90.00
Closest atoms and distances in Å follow each position.
Fractional coordinates of all 16 atoms:
Zn (0.1114, 0.2500, 0.2086)  2 O 1.94-1.97
Zn (0.3886, 0.7500, 0.7086)  2 O 1.94-1.97
Zn (0.6114, 0.2500, 0.2914)  2 O 1.94-1.97
Zn (0.8886, 0.7500, 0.7914)  2 O 1.94-1.97
Pd (0.2233, 0.2500, 0.9576)  2 O 2.18, 2 S 2.30
Pd (0.2767, 0.7500, 0.4576)  2 O 2.18, 2 S 2.30
Pd (0.7233, 0.2500, 0.5424)  2 O 2.18, 2 S 2.30
Pd (0.7767, 0.7500, 0.0424)  2 O 2.18, 2 S 2.30
S (0.1897, 0.2500, 0.5917)  2 Pd 2.30, 2 Zn 2.47
S (0.3103, 0.7500, 0.0917)  2 Pd 2.30, 2 Zn 2.47
S (0.6897, 0.2500, 0.9083)  2 Pd 2.30, 2 Zn 2.47
S (0.8103, 0.7500, 0.4083)  2 Pd 2.30, 2 Zn 2.47
O (0.1776, 0.7500, 0.8333)  2 Zn 1.94-1.97
O (0.3224, 0.2500, 0.3333)  2 Zn 1.94-1.97
O (0.6776, 0.7500, 0.6667)  2 Zn 1.94-1.97
O (0.8224, 0.2500, 0.1667)  2 Zn 1.94-1.97